No. 1
# MnVRe | Alexandria via LeMat-Bulk | PBE-GGA | optimized geometry
# Magnetization   1.1 μB/f.u.
# Calculated total energy   -31.01 eV for the cell shown
# Polymorph energy (0 for the lowest one)   0.0000 eV per atom
data_MnVRe
_cell_length_a 4.1958
_cell_length_b 4.1958
_cell_length_c 2.6036
_cell_angle_alpha 90.00
_cell_angle_beta 90.00
_cell_angle_gamma 120.00
_symmetry_space_group_name_H-M 'P 3 m 1'
_symmetry_Int_Tables_number 156
loop_
_symmetry_equiv_pos_as_xyz
'x,y,z'
'-y,x-y,z'
'-x+y,-x,z'
'-y,-x,z'
'-x+y,y,z'
'x,x-y,z'
loop_
_atom_site_label
_atom_site_type_symbol
_atom_site_fract_x
_atom_site_fract_y
_atom_site_fract_z
Mn1 Mn 0.0000 0.0000 0.0000
V1 V 0.3333 0.6667 0.3235
Re1 Re 0.6667 0.3333 0.6498

---

No. 2
# KMgBiCl6 | Alexandria via LeMat-Bulk | PBE-GGA | optimized geometry
# Magnetization   0.0 μB/f.u.
# Formation energy (no corrections)   -1.527 eV/atom
# Calculated total energy   -62.79 eV for the cell shown
data_KMgBiCl6
_cell_length_a 6.8838
_cell_length_b 6.8838
_cell_length_c 13.8258
_cell_angle_alpha 90.00
_cell_angle_beta 90.00
_cell_angle_gamma 120.00
_symmetry_space_group_name_H-M 'P -3 1 c'
_symmetry_Int_Tables_number 163
_symmetry_space_group_name_Hall '-P 3 2c'
loop_
_atom_site_label
_atom_site_type_symbol
_atom_site_fract_x
_atom_site_fract_y
_atom_site_fract_z
K1 K 0.0000 0.0000 0.0000
Mg1 Mg 0.3333 0.6667 0.2500
Bi1 Bi 0.3333 0.6667 0.7500
Cl1 Cl 0.0222 0.3809 0.1424

---

No. 3
# Y6C3Se2Cl | Alexandria via LeMat-Bulk | PBE-GGA | optimized geometry
# Magnetization   0.0 μB/f.u.
# Formation energy (no corrections)   -1.176 eV/atom
# Calculated total energy   -178.76 eV for the cell shown
data_Y6C3Se2Cl
_cell_length_a 17.102
_cell_length_b 3.743
_cell_length_c 7.918
_cell_angle_alpha 90.00
_cell_angle_beta 107.92
_cell_angle_gamma 90.00
_symmetry_space_group_name_H-M 'C 1 2/m 1'
_symmetry_Int_Tables_number 12
loop_
_symmetry_equiv_pos_as_xyz
'x,y,z'
'-x,-y,-z'
'-x,y,-z'
'x,-y,z'
'x+1/2,y+1/2,z'
'-x+1/2,-y+1/2,-z'
'-x+1/2,y+1/2,-z'
'x+1/2,-y+1/2,z'
loop_
_atom_site_label
_atom_site_type_symbol
_atom_site_fract_x
_atom_site_fract_y
_atom_site_fract_z
Y1 Y 0.012 0.000 0.217
Y2 Y 0.157 0.500 0.109
Y3 Y 0.179 0.500 0.556
C1 C 0.000 0.500 0.000
C2 C 0.166 0.000 0.334
Se1 Se 0.163 0.000 0.827
Cl1 Cl 0.000 0.500 0.500

---

No. 4
# BeAl2V2 | Alexandria via LeMat-Bulk | PBE-GGA | optimized geometry
# Magnetization   0.0 μB/f.u.
# Calculated total energy   -57.42 eV for the cell shown
# Polymorph energy (0 for the lowest one)   0.0388 eV per atom
data_BeAl2V2
_cell_length_a 6.024
_cell_length_b 6.024
_cell_length_c 3.859
_cell_angle_alpha 90.00
_cell_angle_beta 90.00
_cell_angle_gamma 90.00
_symmetry_space_group_name_H-M 'P 4/m b m'
_symmetry_Int_Tables_number 127
_symmetry_space_group_name_Hall '-P 4 2ab'
loop_
_atom_site_label
_atom_site_type_symbol
_atom_site_fract_x
_atom_site_fract_y
_atom_site_fract_z
Be1 Be 0.000 0.000 0.000
Al1 Al 0.148 0.352 0.000
V1 V 0.149 0.649 0.500

---

No. 5
# PrLuCoAu | Alexandria via LeMat-Bulk | PBE-GGA | optimized geometry
# Magnetization   0.7 μB/f.u.
# Calculated total energy   -84.50 eV for the cell shown
data_PrLuCoAu
_cell_length_a 7.070
_cell_length_b 7.070
_cell_length_c 7.070
_cell_angle_alpha 90.00
_cell_angle_beta 90.00
_cell_angle_gamma 90.00
_symmetry_space_group_name_H-M 'F -4 3 m'
_symmetry_Int_Tables_number 216
_symmetry_space_group_name_Hall 'F -4 2 3'
loop_
_atom_site_label
_atom_site_type_symbol
_atom_site_fract_x
_atom_site_fract_y
_atom_site_fract_z
Pr1 Pr 0.000 0.000 0.000
Lu1 Lu 0.000 0.000 0.500
Co1 Co 0.250 0.250 0.250
Au1 Au 0.250 0.250 0.750

---

No. 6
# ReIr2Pt | Alexandria via LeMat-Bulk | PBE-GGA | optimized geometry
# Magnetization   0.2 μB/f.u.
# Calculated total energy   -108.89 eV for the cell shown
# Polymorph energy (0 for the lowest one)   0.1285 eV per atom
data_ReIr2Pt
_cell_length_a 2.7592
_cell_length_b 2.7592
_cell_length_c 27.1125
_cell_angle_alpha 90.00
_cell_angle_beta 90.00
_cell_angle_gamma 120.00
_symmetry_space_group_name_H-M 'R 3 m'
_symmetry_Int_Tables_number 160
_symmetry_space_group_name_Hall 'R 3 -2"'
loop_
_atom_site_label
_atom_site_type_symbol
_atom_site_fract_x
_atom_site_fract_y
_atom_site_fract_z
Re1 Re 0.0000 0.0000 0.0000
Ir1 Ir 0.0000 0.0000 0.2540
Ir2 Ir 0.0000 0.0000 0.5038
Pt1 Pt 0.0000 0.0000 0.7505

---

What did the sixth record say?
# ReIr2Pt | Alexandria via LeMat-Bulk | PBE-GGA | optimized geometry
# Magnetization   0.2 μB/f.u.
# Calculated total energy   -108.89 eV for the cell shown
# Polymorph energy (0 for the lowest one)   0.1285 eV per atom
data_ReIr2Pt
_cell_length_a 2.7592
_cell_length_b 2.7592
_cell_length_c 27.1125
_cell_angle_alpha 90.00
_cell_angle_beta 90.00
_cell_angle_gamma 120.00
_symmetry_space_group_name_H-M 'R 3 m'
_symmetry_Int_Tables_number 160
_symmetry_space_group_name_Hall 'R 3 -2"'
loop_
_atom_site_label
_atom_site_type_symbol
_atom_site_fract_x
_atom_site_fract_y
_atom_site_fract_z
Re1 Re 0.0000 0.0000 0.0000
Ir1 Ir 0.0000 0.0000 0.2540
Ir2 Ir 0.0000 0.0000 0.5038
Pt1 Pt 0.0000 0.0000 0.7505

---

Repeat the first record exactly.
# MnVRe | Alexandria via LeMat-Bulk | PBE-GGA | optimized geometry
# Magnetization   1.1 μB/f.u.
# Calculated total energy   -31.01 eV for the cell shown
# Polymorph energy (0 for the lowest one)   0.0000 eV per atom
data_MnVRe
_cell_length_a 4.1958
_cell_length_b 4.1958
_cell_length_c 2.6036
_cell_angle_alpha 90.00
_cell_angle_beta 90.00
_cell_angle_gamma 120.00
_symmetry_space_group_name_H-M 'P 3 m 1'
_symmetry_Int_Tables_number 156
loop_
_symmetry_equiv_pos_as_xyz
'x,y,z'
'-y,x-y,z'
'-x+y,-x,z'
'-y,-x,z'
'-x+y,y,z'
'x,x-y,z'
loop_
_atom_site_label
_atom_site_type_symbol
_atom_site_fract_x
_atom_site_fract_y
_atom_site_fract_z
Mn1 Mn 0.0000 0.0000 0.0000
V1 V 0.3333 0.6667 0.3235
Re1 Re 0.6667 0.3333 0.6498